Material: Sc2CoSi4Ir3
Method: DFT, PBE
State: relaxed

Output
- DOS(E_F): 7.04 states/eV per cell
- Calculated total energy: -7.69 eV per atom
- Spin magnetization: 0.000 μB per formula unit

Structure (CIF):
```
data_Sc2CoSi4Ir3
_chemical_formula_sum 'Sc2 Co1 Si4 Ir3'
_cell_length_a 3.940
_cell_length_b 3.940
_cell_length_c 10.048
_cell_angle_alpha 90.00
_cell_angle_beta 90.00
_cell_angle_gamma 90.00
_space_group_name_H-M_alt 'P 1'
_space_group_IT_number 1
loop_
_space_group_symop_operation_xyz
'x,y,z'
loop_
_atom_site_label
_atom_site_type_symbol
_atom_site_fract_x
_atom_site_fract_y
_atom_site_fract_z
Sc1 Sc 0.500 0.000 0.260
Sc2 Sc 0.000 0.500 0.740
Co1 Co 0.500 0.500 0.500
Si1 Si 0.500 0.500 0.000
Si2 Si 0.000 0.000 0.000
Si3 Si 0.500 0.000 0.628
Si4 Si 0.000 0.500 0.372
Ir1 Ir 0.000 0.000 0.500
Ir2 Ir 0.500 0.000 0.863
Ir3 Ir 0.000 0.500 0.137
```